Version A
Density functional theory data (PBE) for a relaxed La3Tb2Ho8 crystal.

Calculated values
Its symmetry is No. 12.

abc: 5.6435 7.7441 10.8098
angles: 110.99 90.10 90.00
Fractional positions:
Ho1 0.5007 0.4022 0.2197
Ho2 0.9979 0.3272 0.6544
Ho3 0.9990 0.1367 0.2733
Ho4 0.0010 0.8633 0.7267
La1 0.0000 0.2993 0.0000
Ho5 0.5007 0.8175 0.2197
Tb1 0.5026 0.7591 0.5182
Ho6 0.0021 0.6728 0.3456
Ho7 0.4993 0.5978 0.7803
Ho8 0.4993 0.1825 0.7803
La2 0.5000 0.0000 0.0000
La3 0.0000 0.7007 0.0000
Tb2 0.4974 0.2409 0.4818


Version B
Density functional theory data (PBE) for a relaxed La3Tb2Ho8 crystal.

Calculated values
Its symmetry is No. 12.

abc: 5.0697 8.0270 12.9242
angles: 55.91 101.30 90.00
Fractional positions:
La1 0.0000 0.0000 0.0000
La2 0.4608 0.7727 0.9221
Ho1 0.6939 0.1530 0.3873
La3 0.5392 0.2273 0.0779
Ho2 0.3817 0.3178 0.7635
Ho3 0.0795 0.4536 0.1590
Tb1 0.2316 0.3833 0.4631
Ho4 0.8428 0.0829 0.6859
Tb2 0.7684 0.6167 0.5369
Ho5 0.1572 0.9171 0.3141
Ho6 0.3061 0.8470 0.6127
Ho7 0.6183 0.6822 0.2365
Ho8 0.9205 0.5464 0.8410


Least stable: version A


Version A
Density functional theory data (PBE) for a relaxed La2Tb3Ho7 crystal.

Calculated values
Its symmetry is No. 10.

abc: 3.5219 6.3544 17.9727
angles: 75.63 90.00 90.00
Fractional positions:
Tb1 0.5000 0.5000 0.0000
Ho1 0.0000 0.0000 0.0000
Ho2 0.5000 0.7574 0.4992
Ho3 0.0000 0.5629 0.1617
Ho4 0.0000 0.4371 0.8383
Ho5 0.5000 0.2426 0.5008
Tb2 0.0000 0.1126 0.3423
Ho6 0.5000 0.9356 0.8352
La1 0.5000 0.3836 0.6732
Ho7 0.5000 0.0644 0.1648
La2 0.5000 0.6164 0.3268
Tb3 0.0000 0.8874 0.6577


Version B
Density functional theory data (PBE) for a relaxed La2Tb3Ho7 crystal.

Calculated values
Its symmetry is No. 65.

abc: 3.6140 5.7018 19.2868
angles: 98.50 90.00 90.00
Fractional positions:
Tb1 0.5000 0.5000 0.0000
Ho1 0.0000 0.5878 0.1756
Tb2 0.5000 0.6873 0.3745
Tb3 0.5000 0.3127 0.6255
La1 0.0000 0.1469 0.2939
Ho2 0.0000 0.0000 0.0000
Ho3 0.5000 0.9300 0.8600
La2 0.0000 0.8531 0.7061
Ho4 0.0000 0.4122 0.8244
Ho5 0.0000 0.7695 0.5389
Ho6 0.0000 0.2305 0.4611
Ho7 0.5000 0.0700 0.1400


Least stable: version B


Version A
Density functional theory data (PBE) for a relaxed LaTb4Ho4 crystal.

Calculated values
Its symmetry is No. 139.

abc: 5.0353 7.9825 7.9825
angles: 84.29 71.62 71.62
Fractional positions:
Ho1 0.3316 0.3368 0.0001
La1 0.0000 0.0000 0.0000
Ho2 0.3316 0.9999 0.3368
Tb1 0.9999 0.6657 0.3345
Ho3 0.6684 0.6632 0.9999
Tb2 0.6656 0.3345 0.3343
Ho4 0.6684 0.0001 0.6632
Tb3 0.3344 0.6655 0.6657
Tb4 0.0001 0.3343 0.6655


Version B
Density functional theory data (PBE) for a relaxed LaTb4Ho4 crystal.

Calculated values
Its symmetry is No. 2.

abc: 8.6795 9.6794 14.0518
angles: 103.73 105.57 136.99
Fractional positions:
Tb1 0.7878 0.1242 0.5386
Ho1 0.8227 0.8005 0.5467
Ho2 0.8426 0.8649 0.1210
Tb2 0.2122 0.8758 0.4614
Ho3 0.4569 0.7890 0.2078
Ho4 0.1231 0.4601 0.8765
Ho5 0.1773 0.1995 0.4533
Ho6 0.5431 0.2110 0.7922
Tb3 0.4147 0.7488 0.6297
La1 0.5073 0.4756 0.2164
Ho7 0.8769 0.5399 0.1235
Ho8 0.1574 0.1351 0.8790
Tb4 0.2651 0.9251 0.0381
Tb5 0.9338 0.5954 0.7036
Tb6 0.0662 0.4046 0.2964
Tb7 0.7349 0.0749 0.9619
La2 0.4927 0.5244 0.7836
Tb8 0.5853 0.2512 0.3703


Least stable: version B


Version A
Density functional theory data (PBE) for a relaxed La2Tb7Ho crystal.

Calculated values
Its symmetry is No. 2.

abc: 5.0921 8.8019 9.5269
angles: 108.16 74.50 125.22
Fractional positions:
Tb1 0.6999 0.2972 0.1950
Ho1 0.0000 0.0000 0.0000
La1 0.4035 0.6019 0.3969
Tb2 0.7960 0.1971 0.8024
Tb3 0.5000 0.5000 0.0000
Tb4 0.0998 0.9014 0.6033
Tb5 0.9002 0.0986 0.3967
La2 0.5965 0.3981 0.6031
Tb6 0.3001 0.7028 0.8050
Tb7 0.2040 0.8029 0.1976


Version B
Density functional theory data (PBE) for a relaxed La2Tb7Ho crystal.

Calculated values
Its symmetry is No. 65.

abc: 3.5099 14.9006 14.9006
angles: 154.39 90.00 90.00
Fractional positions:
Tb1 0.5000 0.1476 0.3414
Tb2 0.5000 0.3414 0.1476
Tb3 0.0000 0.8157 0.1843
Tb4 0.5000 0.8524 0.6586
Tb5 0.0000 0.1843 0.8157
Ho1 0.0000 0.0000 0.0000
La1 0.5000 0.7056 0.2944
La2 0.5000 0.2944 0.7056
Tb6 0.5000 0.6586 0.8524
Tb7 0.5000 0.5000 0.5000


Least stable: version B


Version A
Density functional theory data (PBE) for a relaxed La2TbHo3 crystal.

Calculated values
Its symmetry is No. 12.

abc: 5.5976 8.9759 10.2699
angles: 122.66 90.00 108.17
Fractional positions:
Ho1 0.2965 0.5929 0.5791
La1 0.7754 0.5509 0.1347
La2 0.5132 0.0264 0.8671
La3 0.4868 0.9736 0.1329
Ho2 0.7035 0.4071 0.4209
Tb1 0.1364 0.2727 0.1499
Ho3 0.3891 0.7782 0.3494
Ho4 0.0524 0.1049 0.4014
Ho5 0.6109 0.2218 0.6506
Ho6 0.9476 0.8951 0.5986
Tb2 0.8636 0.7273 0.8501
La4 0.2246 0.4491 0.8653


Version B
Density functional theory data (PBE) for a relaxed La2TbHo3 crystal.

Calculated values
Its symmetry is No. 2.

abc: 6.2277 10.8397 6.2547
angles: 73.10 80.32 84.70
Fractional positions:
Ho1 0.3779 0.4593 0.7900
Ho2 0.6221 0.5407 0.2100
Ho3 0.6277 0.2090 0.5408
La1 0.1254 0.3746 0.3751
La2 0.3747 0.1248 0.1247
Ho4 0.1219 0.0407 0.7088
Tb1 0.1281 0.7092 0.0406
La3 0.8746 0.6254 0.6249
Tb2 0.8719 0.2908 0.9594
La4 0.6253 0.8752 0.8753
Ho5 0.8781 0.9593 0.2912
Ho6 0.3723 0.7910 0.4592


Least stable: version A


Version A
Density functional theory data (PBE) for a relaxed La3Tb7Ho crystal.

Calculated values
Its symmetry is No. 156.

abc: 8.7982 7.1264 7.1264
angles: 120.00 90.00 90.00
Fractional positions:
Tb1 0.1230 0.1674 0.3347
Ho1 0.4419 0.3333 0.6667
La1 0.7829 0.4999 0.9998
Tb2 0.1230 0.1674 0.8326
Tb3 0.1230 0.6653 0.8326
Tb4 0.1241 0.6667 0.3333
La2 0.7829 0.4999 0.5001
Tb5 0.4438 0.3346 0.1673
La3 0.7829 0.0002 0.5001
Tb6 0.4438 0.8327 0.6654
Tb7 0.4438 0.8327 0.1673


Version B
Density functional theory data (PBE) for a relaxed La3Tb7Ho crystal.

Calculated values
Its symmetry is No. 2.

abc: 6.7664 8.6916 6.5856
angles: 81.60 95.44 80.12
Fractional positions:
Tb1 0.7298 0.5772 0.9884
Tb2 0.7739 0.2120 0.2855
Tb3 0.7087 0.8529 0.5644
Tb4 0.2702 0.4228 0.0116
Tb5 0.2913 0.1471 0.4356
La1 0.0602 0.8325 0.1932
Ho1 0.5000 0.5000 0.5000
La2 0.5000 0.0000 0.0000
Tb6 0.2261 0.7880 0.7145
La3 0.9398 0.1675 0.8068
Tb7 0.0000 0.5000 0.5000


Least stable: version A